Entry 1:
A geometry-optimized KSr2Rh structure, computed with PBE.

Computed properties:
Its density of states at the Fermi level is 3.33 states/eV/f.u. The value obtained for the energy above the lowest structure with this stoichiometry is 0.178 eV/atom. The total magnetization comes out at 0.00 μB per atom. Its total energy is -0.1048 hartree per atom. The energy relative to the elements comes out at 0.10 eV per atom.

a b c (Å): 7.0617 7.0617 7.0617
angles (deg): 145.42 123.17 68.25
Closest atoms and distances in Å follow each position.
Fractional coordinates of all 4 atoms:
K 0.0000 0.0000 0.0000  4 Sr 3.91, 4 Rh 3.96, 2 K 4.20
Sr 0.3298 0.8298 0.5000  2 Rh 2.89
Sr 0.6702 0.1702 0.5000  2 Rh 2.89
Rh 0.5000 0.5000 0.0000  4 Sr 2.89

=====

Entry 2:
A geometry-optimized MoP2Ru structure, computed with PBE.

Computed properties:
Its density of states at the Fermi level is 2.94 states/eV/f.u. The total magnetization comes out at 0.00 μB per atom. Its total energy is -0.2972 hartree per atom. The energy relative to the elements comes out at -0.36 eV per atom.

a b c (Å): 4.5117 4.5117 4.3435
angles (deg): 103.84 103.84 39.32
Closest atoms and distances in Å follow each position.
Fractional coordinates of all 4 atoms:
Mo 0.0000 0.0000 0.0000  5 P 2.42-2.54
P 0.2622 0.2622 0.8775  3 Mo 2.42-2.47, 2 Ru 2.54
P 0.5045 0.5045 0.5342  3 Ru 2.40-2.49, 2 Mo 2.54
Ru 0.7649 0.7649 0.4111  5 P 2.40-2.54

=====

Entry 3:
A geometry-optimized CePO structure, computed with PBE.

Computed properties:
Its formation energy (no corrections) is -1986.2 meV/atom. Its density of states at the Fermi level is 3.96 states/eV/f.u. The value obtained for the energy above the lowest structure with this stoichiometry is 0.214 eV/atom. The total magnetization comes out at 0.22 μB per atom. Its total energy is -0.2727 hartree per atom.

a b c (Å): 3.9046 3.9046 9.7219
angles (deg): 93.67 93.67 57.39
Closest atoms and distances in Å follow each position.
Fractional coordinates of all 6 atoms:
Ce 0.0850 0.0850 0.2474  3 O 2.31-2.33
Ce 0.9150 0.9150 0.7526  3 O 2.31-2.33
P 0.2146 0.2146 0.5514  2 P 2.20
P 0.7854 0.7854 0.4486  2 P 2.20
O 0.4049 0.4049 0.1796  3 Ce 2.31-2.33
O 0.5951 0.5951 0.8204  3 Ce 2.31-2.33

=====

Entry 4:
A geometry-optimized Ta2IrRu structure, computed with PBE.

Computed properties:
Its density of states at the Fermi level is 2.62 states/eV/f.u. The total magnetization comes out at 0.00 μB per atom. Its total energy is -0.4000 hartree per atom. The energy relative to the elements comes out at -0.42 eV per atom.

a b c (Å): 2.9498 4.5368 4.9336
angles (deg): 90.00 97.89 90.00
Closest atoms and distances in Å follow each position.
Fractional coordinates of all 4 atoms:
Ta 0.0000 0.0000 0.0000  3 Ru 2.57-2.87, 4 Ir 2.75-2.79
Ta 0.1685 0.5000 0.5983  3 Ir 2.66-2.79, 4 Ru 2.73-2.77, 2 Ta 2.95
Ir 0.5381 0.5000 0.1207  7 Ta 2.66-2.79, 2 Ru 2.92, 2 Ir 2.95
Ru 0.6337 0.0000 0.4967  7 Ta 2.57-2.87

=====

Entry 5:
A geometry-optimized RbCaIn2Bi2 structure, computed with PBE.

Computed properties:
Its density of states at the Fermi level is 2.11 states/eV/f.u. The total magnetization comes out at 0.00 μB per atom. Its total energy is -0.1119 hartree per atom. The energy relative to the elements comes out at -0.34 eV per atom.

a b c (Å): 5.4526 5.4526 8.7338
angles (deg): 90.00 90.00 120.00
Closest atoms and distances in Å follow each position.
Fractional coordinates of all 6 atoms:
Rb 0.0000 0.0000 0.0000  6 Bi 4.01, 6 In 4.32, 2 Ca 4.37
Ca 0.0000 0.0000 0.5000  6 In 3.45, 6 Bi 3.67
In 0.3333 0.6667 0.6605  4 Bi 3.18-3.28, 3 Ca 3.45
In 0.6667 0.3333 0.3395  4 Bi 3.18-3.28, 3 Ca 3.45
Bi 0.3333 0.6667 0.2846  4 In 3.18-3.28
Bi 0.6667 0.3333 0.7154  4 In 3.18-3.28

=====

Entry 6:
A geometry-optimized TbEr3Co2 structure, computed with PBE.

Computed properties:
Its density of states at the Fermi level is 5.35 states/eV/f.u. The value obtained for the energy above the lowest structure with this stoichiometry is 0.067 eV/atom. The total magnetization comes out at 0.00 μB per atom. Its total energy is -0.2031 hartree per atom. The energy relative to the elements comes out at -0.10 eV per atom.

a b c (Å): 8.2048 8.2048 11.3129
angles (deg): 121.41 121.41 27.89
Closest atoms and distances in Å follow each position.
Fractional coordinates of all 12 atoms:
Tb 0.0627 0.0627 0.1913  3 Co 2.67
Tb 0.9373 0.9373 0.8087  3 Co 2.67
Er 0.1895 0.1895 0.5621  3 Co 2.64-2.66
Er 0.3112 0.3112 0.9407  3 Co 2.64-2.65
Er 0.4366 0.4366 0.3104  3 Co 2.65-2.66
Er 0.5634 0.5634 0.6896  3 Co 2.65-2.66
Er 0.6888 0.6888 0.0593  3 Co 2.64-2.65
Er 0.8105 0.8105 0.4379  3 Co 2.64-2.66
Co 0.1252 0.1252 0.8741  5 Er 2.64-2.65, 1 Tb 2.67
Co 0.3754 0.3754 0.6213  4 Er 2.64-2.66, 2 Tb 2.67
Co 0.6246 0.6246 0.3787  4 Er 2.64-2.66, 2 Tb 2.67
Co 0.8748 0.8748 0.1259  5 Er 2.64-2.65, 1 Tb 2.67

=====

Entry 7:
A geometry-optimized UPa2Mn structure, computed with PBE.

Computed properties:
Its density of states at the Fermi level is 9.43 states/eV/f.u. The value obtained for the energy above the lowest structure with this stoichiometry is 0.052 eV/atom. The total magnetization comes out at 0.36 μB per atom. Its total energy is -0.3562 hartree per atom. The energy relative to the elements comes out at 0.17 eV per atom.

a b c (Å): 3.4734 3.4734 6.6972
angles (deg): 90.00 90.00 90.00
Closest atoms and distances in Å follow each position.
Fractional coordinates of all 4 atoms:
U 0.0000 0.0000 0.0000  8 Pa 3.03, 2 Mn 3.35
Pa 0.5000 0.5000 0.2640  4 Mn 2.92, 4 U 3.03, 1 Pa 3.16
Pa 0.5000 0.5000 0.7360  4 Mn 2.92, 4 U 3.03, 1 Pa 3.16
Mn 0.0000 0.0000 0.5000  8 Pa 2.92

=====

Entry 8:
A geometry-optimized TiAlTe2 structure, computed with PBE.

Computed properties:
Its formation energy (no corrections) is -241.5 meV/atom. Its density of states at the Fermi level is 3.08 states/eV/f.u. The total magnetization comes out at 0.00 μB per atom. Its total energy is -0.1735 hartree per atom.

a b c (Å): 9.7078 9.7078 9.7078
angles (deg): 21.70 21.70 21.70
Closest atoms and distances in Å follow each position.
Fractional coordinates of all 4 atoms:
Ti 0.0000 0.0000 0.0000  6 Te 2.75
Al 0.5000 0.5000 0.5000  2 Te 2.97
Te 0.3954 0.3954 0.3954  3 Ti 2.75, 1 Al 2.97
Te 0.6046 0.6046 0.6046  3 Ti 2.75, 1 Al 2.97

=====

Entry 9:
A geometry-optimized Na3LiTe structure, computed with PBE.

Computed properties:
Its formation energy (no corrections) is -283.2 meV/atom. Its density of states at the Fermi level is 0.36 states/eV/f.u. The value obtained for the energy above the lowest structure with this stoichiometry is 0.000 eV/atom. The total magnetization comes out at 0.00 μB per atom. Its total energy is -0.0766 hartree per atom.

a b c (Å): 5.9738 5.9738 5.9738
angles (deg): 90.00 90.00 90.00
Closest atoms and distances in Å follow each position.
Fractional coordinates of all 5 atoms:
Na 0.0000 0.0000 0.5000  2 Te 2.99
Na 0.0000 0.5000 0.0000  2 Te 2.99
Na 0.5000 0.0000 0.0000  2 Te 2.99
Li 0.5000 0.5000 0.5000  12 Na 4.22
Te 0.0000 0.0000 0.0000  6 Na 2.99

=====

Entry 10:
A geometry-optimized AcPaPdRu structure, computed with PBE.

Computed properties:
Its density of states at the Fermi level is 6.56 states/eV/f.u. The total magnetization comes out at 0.22 μB per atom. Its total energy is -0.2652 hartree per atom. The energy relative to the elements comes out at -0.20 eV per atom.

a b c (Å): 5.0820 5.0820 5.0820
angles (deg): 60.00 60.00 60.00
Closest atoms and distances in Å follow each position.
Fractional coordinates of all 4 atoms:
Ac 0.0000 0.0000 0.0000  4 Ru 3.11, 4 Pd 3.11
Pa 0.5000 0.5000 0.5000  4 Pd 3.11, 4 Ru 3.11
Pd 0.7500 0.7500 0.7500  4 Pa 3.11, 4 Ac 3.11
Ru 0.2500 0.2500 0.2500  4 Ac 3.11, 4 Pa 3.11

=====

Entry 11:
A geometry-optimized Cr2WC structure, computed with PBE.

Computed properties:
Its density of states at the Fermi level is 2.98 states/eV/f.u. The total magnetization comes out at 0.00 μB per atom. Its total energy is -0.3693 hartree per atom. The energy relative to the elements comes out at 0.31 eV per atom.

a b c (Å): 5.1595 5.1595 5.1595
angles (deg): 100.18 100.18 130.27
Closest atoms and distances in Å follow each position.
Fractional coordinates of all 8 atoms:
Cr 0.0161 0.1250 0.3911  2 C 1.98
Cr 0.3750 0.9839 0.1089  2 C 1.98
Cr 0.7339 0.6250 0.6089  2 C 1.98
Cr 0.8750 0.2661 0.8911  2 C 1.98
W 0.2500 0.7500 0.5000  2 C 2.17
W 0.5000 0.5000 0.0000  2 C 2.17
C 0.0000 0.0000 0.0000  4 Cr 1.98, 2 W 2.17
C 0.7500 0.2500 0.5000  4 Cr 1.98, 2 W 2.17

=====

Entry 12:
A geometry-optimized CaYHoMg structure, computed with PBE.

Computed properties:
Its density of states at the Fermi level is 4.03 states/eV/f.u. The total magnetization comes out at 0.00 μB per atom. Its total energy is -0.1315 hartree per atom. The energy relative to the elements comes out at 0.08 eV per atom.

a b c (Å): 5.5769 5.5769 5.5769
angles (deg): 60.00 60.00 60.00
Closest atoms and distances in Å follow each position.
Fractional coordinates of all 4 atoms:
Ca 0.0000 0.0000 0.0000  4 Ho 3.42, 4 Y 3.42
Y 0.2500 0.2500 0.2500  4 Ca 3.42, 4 Mg 3.42
Ho 0.7500 0.7500 0.7500  4 Mg 3.42, 4 Ca 3.42
Mg 0.5000 0.5000 0.5000  4 Ho 3.42, 4 Y 3.42